Run A
Compound: AlBCl2
Source: Alexandria via LeMat-Bulk
Functional: PBE
Structure: optimized geometry

Unit cell a=6.6503 b=6.6503 c=9.4591 alpha=90.00 beta=90.00 gamma=90.00
With the nearest neighbours (Å) after each atom.
Space group I4_1/amd (No. 141, origin choice 2)
Symmetry-distinct sites (fractional):
Al: 0.0000 0.2500 0.3750 x4  12 Cl 3.90-3.92, 4 B 4.08, 4 Al 4.08
B: 0.0000 0.2500 0.8750 x4  4 Cl 2.04
Cl: 0.0000 0.0000 0.0000 x8  2 B 2.04

---

Run B
Compound: AlBCl2
Source: Alexandria via LeMat-Bulk
Functional: PBE
Structure: optimized geometry

Unit cell a=3.3694 b=3.3694 c=24.0572 alpha=90.00 beta=90.00 gamma=120.00
With the nearest neighbours (Å) after each atom.
Space group R-3m (No. 166, hexagonal axes)
Symmetry-distinct sites (fractional):
Al: 0.0000 0.0000 0.0000 x3  2 Cl 2.37
B: 0.0000 0.0000 0.5000 x3  6 Cl 2.55
Cl: 0.0000 0.0000 0.0983 x6  1 Al 2.37, 3 B 2.55

---

Run C
Compound: AlBCl2
Source: Alexandria via LeMat-Bulk
Functional: PBE
Structure: optimized geometry

Unit cell a=6.8148 b=6.8148 c=6.8148 alpha=90.00 beta=90.00 gamma=90.00
With the nearest neighbours (Å) after each atom.
Space group Fm-3m (No. 225)
Symmetry-distinct sites (fractional):
Al: 0.0000 0.0000 0.0000 x4  8 Cl 2.95
B: 0.0000 0.0000 0.5000 x4  8 Cl 2.95
Cl: 0.2500 0.2500 0.2500 x8  4 Al 2.95, 4 B 2.95

---

Order of stability, best first: run B, run A, run C

---

Run A
Compound: Al3BCl
Source: Alexandria via LeMat-Bulk
Functional: PBE
Structure: optimized geometry

Unit cell a=4.9774 b=4.9774 c=4.9774 alpha=90.00 beta=90.00 gamma=90.00
With the nearest neighbours (Å) after each atom.
Space group Pm-3m (No. 221)
Symmetry-distinct sites (fractional):
Al: 0.0000 0.0000 0.5000 x3  2 Cl 2.49
B: 0.5000 0.5000 0.5000 x1  12 Al 3.52
Cl: 0.0000 0.0000 0.0000 x1  6 Al 2.49

---

Run B
Compound: Al3BCl
Source: Alexandria via LeMat-Bulk
Functional: PBE
Structure: optimized geometry

Unit cell a=4.4248 b=4.4248 c=4.4248 alpha=90.00 beta=90.00 gamma=90.00
With the nearest neighbours (Å) after each atom.
Space group Pm-3m (No. 221)
Symmetry-distinct sites (fractional):
Al: 0.0000 0.0000 0.5000 x3  2 B 2.21
B: 0.0000 0.0000 0.0000 x1  6 Al 2.21
Cl: 0.5000 0.5000 0.5000 x1  12 Al 3.13

---

Order of stability, best first: run B, run A

---

Run A
Compound: AlBCl3
Source: Alexandria via LeMat-Bulk
Functional: PBE
Structure: optimized geometry

Unit cell a=4.5694 b=4.5694 c=4.5694 alpha=90.00 beta=90.00 gamma=90.00
With the nearest neighbours (Å) after each atom.
Space group Pm-3m (No. 221)
Symmetry-distinct sites (fractional):
Al: 0.0000 0.0000 0.0000 x1  12 Cl 3.23
B: 0.5000 0.5000 0.5000 x1  6 Cl 2.28
Cl: 0.0000 0.5000 0.5000 x3  2 B 2.28

---

Run B
Compound: AlBCl3
Source: Alexandria via LeMat-Bulk
Functional: PBE
Structure: optimized geometry

Unit cell a=4.7826 b=4.7826 c=4.7826 alpha=90.00 beta=90.00 gamma=90.00
With the nearest neighbours (Å) after each atom.
Space group Pm-3m (No. 221)
Symmetry-distinct sites (fractional):
Al: 0.0000 0.0000 0.0000 x1  6 Cl 2.39
B: 0.5000 0.5000 0.5000 x1  12 Cl 3.38
Cl: 0.0000 0.0000 0.5000 x3  2 Al 2.39

---

Order of stability, best first: run B, run A

---

Run A
Compound: AlBS2Cl
Source: Alexandria via LeMat-Bulk
Functional: PBE
Structure: optimized geometry

Unit cell a=4.2436 b=4.2436 c=4.2909 alpha=90.00 beta=90.00 gamma=90.00
With the nearest neighbours (Å) after each atom.
Space group P4/mmm (No. 123)
Symmetry-distinct sites (fractional):
Al: 0.0000 0.0000 0.0000 x1  4 Cl 3.00, 8 S 3.02
B: 0.5000 0.5000 0.5000 x1  4 S 2.12, 2 Cl 2.15
S: 0.0000 0.5000 0.5000 x2  2 B 2.12
Cl: 0.5000 0.5000 0.0000 x1  2 B 2.15

---

Run B
Compound: AlBS2Cl
Source: Alexandria via LeMat-Bulk
Functional: PBE
Structure: optimized geometry

Unit cell a=4.6092 b=4.6092 c=4.7386 alpha=90.00 beta=90.00 gamma=90.00
With the nearest neighbours (Å) after each atom.
Space group P4/mmm (No. 123)
Symmetry-distinct sites (fractional):
Al: 0.0000 0.0000 0.0000 x1  4 S 2.30, 2 Cl 2.37
B: 0.5000 0.5000 0.5000 x1  4 Cl 3.26, 8 S 3.31
S: 0.0000 0.5000 0.0000 x2  2 Al 2.30
Cl: 0.0000 0.0000 0.5000 x1  2 Al 2.37

---

Order of stability, best first: run A, run B

---

Run A
Compound: Al3CoB
Source: Alexandria via LeMat-Bulk
Functional: PBE
Structure: optimized geometry

Unit cell a=4.4078 b=4.4078 c=4.4078 alpha=90.00 beta=90.00 gamma=90.00
With the nearest neighbours (Å) after each atom.
Space group Pm-3m (No. 221)
Symmetry-distinct sites (fractional):
Al: 0.0000 0.0000 0.5000 x3  2 Co 2.20
Co: 0.0000 0.0000 0.0000 x1  6 Al 2.20
B: 0.5000 0.5000 0.5000 x1  12 Al 3.12

---

Run B
Compound: Al3CoB
Source: Alexandria via LeMat-Bulk
Functional: PBE
Structure: optimized geometry

Unit cell a=4.0686 b=4.0686 c=4.0686 alpha=90.00 beta=90.00 gamma=90.00
With the nearest neighbours (Å) after each atom.
Space group Pm-3m (No. 221)
Symmetry-distinct sites (fractional):
Al: 0.0000 0.0000 0.5000 x3  2 B 2.03
Co: 0.5000 0.5000 0.5000 x1  12 Al 2.88
B: 0.0000 0.0000 0.0000 x1  6 Al 2.03

---

Order of stability, best first: run B, run A

---

Run A
Compound: AlCoB3
Source: Alexandria via LeMat-Bulk
Functional: PBE
Structure: optimized geometry

Unit cell a=3.7908 b=3.7908 c=3.7908 alpha=90.00 beta=90.00 gamma=90.00
With the nearest neighbours (Å) after each atom.
Space group Pm-3m (No. 221)
Symmetry-distinct sites (fractional):
Al: 0.0000 0.0000 0.0000 x1  12 B 2.68
Co: 0.5000 0.5000 0.5000 x1  6 B 1.90
B: 0.0000 0.5000 0.5000 x3  2 Co 1.90

---

Run B
Compound: AlCoB3
Source: Alexandria via LeMat-Bulk
Functional: PBE
Structure: optimized geometry

Unit cell a=4.0041 b=4.0041 c=4.0041 alpha=90.00 beta=90.00 gamma=90.00
With the nearest neighbours (Å) after each atom.
Space group Pm-3m (No. 221)
Symmetry-distinct sites (fractional):
Al: 0.0000 0.0000 0.0000 x1  6 B 2.00
Co: 0.5000 0.5000 0.5000 x1  12 B 2.83
B: 0.0000 0.0000 0.5000 x3  2 Al 2.00

---

Order of stability, best first: run A, run B